Material: La2Pm2HoAg5
Method: DFT, PBE
State: optimized geometry

The space group is P4/mbm (No. 127) and the conventional cell measures 11.150, 11.150 and 4.263 Å, with angles of 90.00, 90.00 and 90.00 degrees. Symmetry generates all atoms from La at (0.173, 0.327, 0.000), Pm at (0.130, 0.630, 0.000), Ho at (0.000, 0.000, 0.000), Ag at (0.000, 0.500, 0.500) and Ag at (0.060, 0.816, 0.500).

For the total energy, the calculation gives -3.95 eV/atom. Its crystal system is tetragonal. The value obtained for the energy of formation from the pure elements is -132 meV per atom. The calculated volume comes out at 26.5 Å³/atom. As for the spin magnetization: 0.0 μB/cell.